A relaxed NdHo3Ru8 crystal. Source: Alexandria, functional PBE-GGA.

Unit cell a=5.336 b=5.336 c=9.307 alpha=73.34 beta=73.34 gamma=60.00
Fractional positions:
Nd1 0.875 0.875 0.376
Ho1 0.375 0.375 0.874
Ho2 0.000 0.000 0.000
Ho3 0.500 0.500 0.501
Ru1 0.941 0.438 0.183
Ru2 0.433 0.938 0.692
Ru3 0.438 0.438 0.183
Ru4 0.938 0.938 0.692
Ru5 0.187 0.187 0.438
Ru6 0.688 0.688 0.937
Ru7 0.438 0.941 0.183
Ru8 0.938 0.433 0.692

Calculated values
The theoretical density comes out at 11.1 g/cm3. For the total magnetic moment, the calculation gives 0.00 μB per formula unit. The energy of formation comes out at -0.266 eV/atom. The calculation puts the density of states at the Fermi level at 15.1 states/eV/f.u.


A relaxed NdY6Se8 crystal. Source: Alexandria, functional PBE-GGA.

Unit cell a=8.160 b=8.160 c=8.160 alpha=60.00 beta=60.00 gamma=60.00
Fractional positions:
Nd1 0.000 0.000 0.000
Y1 0.000 0.500 0.500
Y2 0.500 0.000 0.000
Y3 0.500 0.500 0.000
Y4 0.000 0.000 0.500
Y5 0.000 0.500 0.000
Y6 0.500 0.000 0.500
Se1 0.750 0.750 0.750
Se2 0.250 0.250 0.250
Se3 0.741 0.259 0.259
Se4 0.259 0.741 0.741
Se5 0.259 0.259 0.741
Se6 0.741 0.741 0.259
Se7 0.741 0.259 0.741
Se8 0.259 0.741 0.259

Calculated values
The theoretical density comes out at 5.7 g/cm3. Its energy above the lowest structure with this stoichiometry is 0 meV per atom. For the total magnetic moment, the calculation gives 0.00 μB per formula unit. The value obtained for the energy relative to the elements, uncorrected is -1.840 eV per atom. The calculation puts the density of states at the Fermi level at 6.3 states/eV/f.u.


A relaxed Pa3Tc2Ge3 crystal. Source: Alexandria, functional PBE-GGA.

Unit cell a=5.264 b=8.480 c=14.551 alpha=90.00 beta=90.00 gamma=90.00
Fractional positions:
Pa1 0.098 0.463 0.382
Pa2 0.598 0.037 0.618
Pa3 0.902 0.537 0.882
Pa4 0.402 0.963 0.118
Pa5 0.902 0.537 0.618
Pa6 0.402 0.963 0.382
Pa7 0.098 0.463 0.118
Pa8 0.598 0.037 0.882
Pa9 0.607 0.326 0.250
Pa10 0.107 0.174 0.750
Pa11 0.393 0.674 0.750
Pa12 0.893 0.826 0.250
Tc1 0.887 0.058 0.403
Tc2 0.387 0.442 0.597
Tc3 0.113 0.942 0.903
Tc4 0.613 0.558 0.097
Tc5 0.113 0.942 0.597
Tc6 0.613 0.558 0.403
Tc7 0.887 0.058 0.097
Tc8 0.387 0.442 0.903
Ge1 0.102 0.167 0.250
Ge2 0.602 0.333 0.750
Ge3 0.898 0.833 0.750
Ge4 0.398 0.667 0.250
Ge5 0.594 0.281 0.461
Ge6 0.094 0.219 0.539
Ge7 0.406 0.719 0.961
Ge8 0.906 0.781 0.039
Ge9 0.406 0.719 0.539
Ge10 0.906 0.781 0.461
Ge11 0.594 0.281 0.039
Ge12 0.094 0.219 0.961

Calculated values
The theoretical density comes out at 11.3 g/cm3. Its energy above the lowest structure with this stoichiometry is 0 meV per atom. For the total magnetic moment, the calculation gives 0.00 μB per formula unit. The energy of formation comes out at -0.435 eV/atom. The calculation puts the density of states at the Fermi level at 8.6 states/eV/f.u.


A relaxed BaNdMg crystal. Source: Alexandria, functional PBE-GGA.

Unit cell a=3.666 b=5.889 c=5.889 alpha=120.00 beta=90.00 gamma=90.00
Fractional positions:
Mg1 0.023 0.000 0.000
Nd1 0.297 0.667 0.333
Ba1 0.680 0.333 0.667

Calculated values
The theoretical density comes out at 4.6 g/cm3. Its energy above the lowest structure with this stoichiometry is 140 meV per atom. For the total magnetic moment, the calculation gives 0.00 μB per formula unit. The energy of formation comes out at 0.161 eV/atom. The calculation puts the density of states at the Fermi level at 3.6 states/eV/f.u.


Question: Among the records above, which one has the lowest theoretical density?
Answer: BaNdMg